# TiCr7O12 | Alexandria via LeMat-Bulk | GGA+U | optimized geometry
# VASP energy ... -8.062 eV/atom
# Density of states at the Fermi level ... 0.13 states/eV/atom
# M_tot ... 1.10 μB/atom
data_TiCr7O12
_chemical_formula_sum 'Ti1 Cr7 O12'
_cell_length_a 5.119
_cell_length_b 5.482
_cell_length_c 7.480
_cell_angle_alpha 84.53
_cell_angle_beta 89.66
_cell_angle_gamma 89.97
_space_group_name_H-M_alt 'P 1'
_space_group_IT_number 1
_space_group_name_Hall 'P 1'
loop_
_atom_site_label
_atom_site_type_symbol
_atom_site_fract_x
_atom_site_fract_y
_atom_site_fract_z
Ti1 Ti 0.000 0.000 0.000
Cr1 Cr 0.003 0.007 0.503
Cr2 Cr 0.004 0.404 0.205
Cr3 Cr 0.499 0.902 0.702
Cr4 Cr 0.501 0.497 0.003
Cr5 Cr 0.501 0.505 0.504
Cr6 Cr 0.503 0.904 0.206
Cr7 Cr 0.999 0.406 0.703
O1 O 0.137 0.356 0.953
O2 O 0.158 0.058 0.256
O3 O 0.200 0.706 0.604
O4 O 0.301 0.204 0.604
O5 O 0.344 0.874 0.954
O6 O 0.352 0.555 0.255
O7 O 0.651 0.555 0.751
O8 O 0.653 0.854 0.454
O9 O 0.712 0.195 0.111
O10 O 0.816 0.716 0.107
O11 O 0.850 0.051 0.758
O12 O 0.852 0.355 0.454